Compound: ScAs2Rh
Source: the Alexandria database
Functional: PBE-GGA
Structure: optimized geometry

Geometry as CIF:
```
data_ScAs2Rh
_space_group_name_H-M_alt 'P 4 m m'
_space_group_IT_number 99
_cell_length_a 3.622
_cell_length_b 3.622
_cell_length_c 5.448
_cell_angle_alpha 90.00
_cell_angle_beta 90.00
_cell_angle_gamma 90.00
loop_
_space_group_symop_operation_xyz
'x,y,z'
'-y,x,z'
'-x,-y,z'
'y,-x,z'
'-x,y,z'
'y,x,z'
'x,-y,z'
'-y,-x,z'
loop_
_atom_site_label
_atom_site_type_symbol
_atom_site_fract_x
_atom_site_fract_y
_atom_site_fract_z
Sc1 Sc 0.000 0.000 0.000
As1 As 0.000 0.000 0.503
As2 As 0.500 0.500 0.126
Rh1 Rh 0.500 0.500 0.631
```

energy of formation = -0.672 eV per atom
total DFT energy (no corrections) = -0.2358 Ha/atom
total moment = 0.000 μB per atom
DOS(E_F) = 1.9 states/eV per cell